Entry 1:
VASP calculation (PBE-GGA) on crystalline Ta2Tl3SnO8 at its relaxed geometry.

Cell and atoms, written as POSCAR:
```
Ta2Tl3SnO8
1.0
-0.950 0.641 6.130
2.438 -5.284 -2.242
7.162 2.965 0.800
Ta Tl Sn O
2 3 1 8
Direct
0.333 0.667 0.249
0.667 0.333 0.751
0.333 0.667 0.702
0.667 0.333 0.298
0.000 0.000 0.000
0.000 0.000 0.500
0.333 0.667 0.014
0.667 0.333 0.986
0.167 0.833 0.322
0.833 0.167 0.678
0.167 0.333 0.322
0.833 0.667 0.678
0.667 0.833 0.322
0.333 0.167 0.678
```

Properties
Uncorrected formation energy (eV per atom): -1.801
Magnetic moment (μB/f.u.): 0.668
Crystal system: trigonal

=====

Entry 2:
VASP calculation (PBE-GGA) on crystalline InSiH at its relaxed geometry.

Cell and atoms, written as POSCAR:
```
InSiH
1.0
-3.179 -2.386 5.687
-3.311 -1.926 -2.659
3.980 -6.276 -0.408
H Si In
4 4 4
Direct
0.928 0.250 0.014
0.572 0.750 0.514
0.072 0.750 0.986
0.428 0.250 0.486
0.248 0.250 0.369
0.252 0.750 0.869
0.752 0.750 0.631
0.748 0.250 0.131
0.837 0.250 0.474
0.663 0.750 0.974
0.163 0.750 0.526
0.337 0.250 0.026
```

Properties
Magnetic moment (μB/f.u.): 0.000
E above lowest polymorph (eV per atom): 0.089
Crystal system: orthorhombic

=====

Entry 3:
VASP calculation (PBE-GGA) on crystalline Pa2Ga2Fe3 at its relaxed geometry.

Cell and atoms, written as POSCAR:
```
Pa2Ga2Fe3
1.0
4.015 0.000 -1.490
-0.174 4.773 -0.470
0.053 0.088 6.300
Pa Ga Fe
2 2 3
Direct
0.854 0.625 0.709
0.146 0.375 0.291
0.599 0.884 0.199
0.401 0.116 0.801
0.000 0.000 0.000
0.795 0.179 0.591
0.205 0.821 0.409
```

Properties
Magnetic moment (μB/f.u.): 0.000
E above lowest polymorph (eV per atom): 0.000
Crystal system: monoclinic

=====

Entry 4:
VASP calculation (PBE-GGA) on crystalline SrZnTc4 at its relaxed geometry.

Cell and atoms, written as POSCAR:
```
SrZnTc4
1.0
0.135 -5.288 0.707
-4.485 -2.863 -0.414
-0.705 -3.268 -4.161
Sr Zn Tc
1 1 4
Direct
0.000 0.000 0.000
0.750 0.750 0.750
0.872 0.376 0.376
0.376 0.376 0.872
0.376 0.872 0.376
0.376 0.376 0.376
```

Properties
Calculated total energy (hartree per atom): -0.2529
Magnetic moment (μB/f.u.): 0.000
Crystal system: cubic

=====

Entry 5:
VASP calculation (PBE-GGA) on crystalline ScMn2B2 at its relaxed geometry.

Cell and atoms, written as POSCAR:
```
ScMn2B2
1.0
-1.255 -4.471 3.679
1.466 -3.887 -4.224
2.732 0.007 0.941
Sc B Mn
2 4 4
Direct
0.000 0.000 0.000
0.500 0.500 0.000
0.393 0.893 0.000
0.893 0.607 0.000
0.607 0.107 0.000
0.107 0.393 0.000
0.164 0.664 0.500
0.664 0.836 0.500
0.836 0.336 0.500
0.336 0.164 0.500
```

Properties
Calculated total energy (hartree per atom): -0.2884
Magnetic moment (μB/f.u.): 1.047
Crystal system: tetragonal

=====

Entry 6:
VASP calculation (PBE-GGA) on crystalline PrSmErAl at its relaxed geometry.

Cell and atoms, written as POSCAR:
```
PrSmErAl
1.0
3.554 0.000 0.000
0.000 3.554 0.000
0.000 0.000 9.224
Pr Sm Er Al
1 1 1 1
Direct
0.000 0.000 0.079
0.500 0.500 0.779
0.500 0.500 0.363
0.000 0.000 0.564
```

Properties
Magnetic moment (μB/f.u.): 0.000
E above lowest polymorph (eV per atom): 0.000
Crystal system: tetragonal

=====

Entry 7:
VASP calculation (PBE-GGA) on crystalline K2NaZnF5 at its relaxed geometry.

Cell and atoms, written as POSCAR:
```
K2NaZnF5
1.0
7.018 0.000 0.000
0.000 7.018 0.000
-3.509 -3.509 6.178
K Na Zn F
4 2 2 10
Direct
0.172 0.328 0.000
0.672 0.172 0.000
0.328 0.828 0.000
0.828 0.672 0.000
0.250 0.250 0.500
0.750 0.750 0.500
0.250 0.750 0.500
0.750 0.250 0.500
0.002 0.502 0.310
0.692 0.192 0.690
0.998 0.498 0.690
0.192 0.998 0.690
0.498 0.692 0.690
0.808 0.002 0.310
0.502 0.308 0.310
0.308 0.808 0.310
0.500 0.500 0.000
0.000 0.000 0.000
```

Properties
Uncorrected formation energy (eV per atom): -2.518
Magnetic moment (μB/f.u.): 0.112
Crystal system: tetragonal

=====

Entry 8:
VASP calculation (PBE-GGA) on crystalline GeBPtI2 at its relaxed geometry.

Cell and atoms, written as POSCAR:
```
GeBPtI2
1.0
-1.960 -3.032 3.617
-2.314 -1.939 -2.879
3.774 -3.359 -0.771
I Ge B Pt
2 1 1 1
Direct
0.000 0.000 0.500
0.500 0.000 0.000
0.000 0.500 0.000
0.000 0.000 0.000
0.500 0.500 0.500
```

Properties
Uncorrected formation energy (eV per atom): 1.058
Magnetic moment (μB/f.u.): 0.000
Crystal system: tetragonal

=====

Entry 9:
VASP calculation (PBE-GGA) on crystalline Th2TlPt9 at its relaxed geometry.

Cell and atoms, written as POSCAR:
```
Th2TlPt9
1.0
5.488 0.000 0.000
2.744 4.752 0.000
2.744 1.584 8.947
Th Tl Pt
2 1 9
Direct
0.866 0.866 0.403
0.134 0.134 0.597
0.000 0.000 0.000
0.668 0.668 0.996
0.332 0.332 0.004
0.500 0.500 0.500
0.411 0.411 0.258
0.919 0.411 0.258
0.411 0.919 0.258
0.589 0.589 0.742
0.589 0.081 0.742
0.081 0.589 0.742
```

Properties
Magnetic moment (μB/f.u.): 0.000
E above lowest polymorph (eV per atom): 0.117
Crystal system: trigonal

=====

Entry 10:
VASP calculation (PBE-GGA) on crystalline RbLi2Cd at its relaxed geometry.

Cell and atoms, written as POSCAR:
```
RbLi2Cd
1.0
-0.285 -4.083 -0.282
3.302 -2.223 -0.995
3.415 -2.955 9.474
Li Rb Cd
2 1 1
Direct
0.118 0.118 0.646
0.882 0.882 0.354
0.000 0.000 0.000
0.500 0.500 0.500
```

Properties
Calculated total energy (hartree per atom): -0.0463
Magnetic moment (μB/f.u.): 0.000
Crystal system: trigonal

=====

Entry 11:
VASP calculation (PBE-GGA) on crystalline Cs2BaReCl6 at its relaxed geometry.

Cell and atoms, written as POSCAR:
```
Cs2BaReCl6
1.0
-5.569 -5.242 0.853
4.998 -5.591 -1.727
0.985 -5.908 4.831
Cs Re Ba Cl
2 1 1 6
Direct
0.750 0.250 0.500
0.250 0.750 0.500
0.000 0.000 0.000
0.500 0.500 0.000
0.224 0.224 0.552
0.776 0.776 0.448
0.224 0.224 0.000
0.776 0.776 0.000
0.776 0.224 0.000
0.224 0.776 0.000
```

Properties
Uncorrected formation energy (eV per atom): -1.417
Magnetic moment (μB/f.u.): 1.000
Crystal system: cubic

=====

Entry 12:
VASP calculation (PBE-GGA) on crystalline AcZnCd4 at its relaxed geometry.

Cell and atoms, written as POSCAR:
```
AcZnCd4
1.0
-2.077 -4.054 3.982
-2.884 -4.949 -1.947
2.648 -5.421 0.458
Ac Zn Cd
1 1 4
Direct
0.250 0.250 0.250
0.000 0.000 0.000
0.625 0.625 0.124
0.625 0.124 0.625
0.625 0.625 0.625
0.124 0.625 0.625
```

Properties
Magnetic moment (μB/f.u.): 0.000
E above lowest polymorph (eV per atom): 0.159
Crystal system: cubic

=====

Entry 13:
VASP calculation (PBE-GGA) on crystalline BBr at its relaxed geometry.

Cell and atoms, written as POSCAR:
```
BBr
1.0
-2.242 3.354 -3.478
-0.589 -3.995 -3.473
-4.796 -1.077 2.052
B Br
4 4
Direct
0.000 0.000 0.000
0.000 0.500 0.500
0.500 0.000 0.500
0.500 0.500 0.000
0.500 0.500 0.500
0.500 0.000 0.000
0.000 0.500 0.000
0.000 0.000 0.500
```

Properties
Uncorrected formation energy (eV per atom): 1.587
Magnetic moment (μB/f.u.): 0.000
E above lowest polymorph (eV per atom): 1.913
Crystal system: cubic

=====

Entry 14:
VASP calculation (PBE-GGA) on crystalline CaV2Fe2 at its relaxed geometry.

Cell and atoms, written as POSCAR:
```
CaV2Fe2
1.0
3.980 0.000 0.000
0.000 3.980 0.000
1.990 1.990 5.203
Ca Fe V
1 2 2
Direct
0.000 0.000 0.000
0.750 0.250 0.500
0.250 0.750 0.500
0.359 0.359 0.282
0.641 0.641 0.718
```

Properties
Magnetic moment (μB/f.u.): 0.000
E above lowest polymorph (eV per atom): 0.071
Crystal system: tetragonal

=====

Entry 15:
VASP calculation (PBE-GGA) on crystalline Pm3IrS2 at its relaxed geometry.

Cell and atoms, written as POSCAR:
```
Pm3IrS2
1.0
3.998 -0.001 -0.911
-0.208 3.993 -0.911
-0.019 -0.019 9.143
Pm Ir S
3 1 2
Direct
0.934 0.936 0.874
0.273 0.274 0.552
0.595 0.597 0.196
0.434 0.436 0.874
0.106 0.107 0.217
0.763 0.764 0.531
```

Properties
Uncorrected formation energy (eV per atom): -1.523
Magnetic moment (μB/f.u.): 0.000
Crystal system: tetragonal

=====

Entry 16:
VASP calculation (PBE-GGA) on crystalline Na2In6Pb3 at its relaxed geometry.

Cell and atoms, written as POSCAR:
```
Na2In6Pb3
1.0
-2.590 1.447 -1.699
-1.054 -9.914 -6.838
-3.789 -4.014 5.795
Na In Pb
2 6 3
Direct
0.895 0.957 0.791
0.105 0.043 0.209
0.954 0.230 0.907
0.714 0.850 0.429
0.635 0.304 0.270
0.046 0.770 0.093
0.286 0.150 0.571
0.365 0.696 0.730
0.320 0.414 0.640
0.680 0.586 0.360
0.000 0.500 0.000
```

Properties
Calculated total energy (hartree per atom): -0.1010
Magnetic moment (μB/f.u.): 0.000
Crystal system: monoclinic

=====

Entry 17:
VASP calculation (PBE-GGA) on crystalline CeTmAgSe4 at its relaxed geometry.

Cell and atoms, written as POSCAR:
```
CeTmAgSe4
1.0
-0.195 8.125 0.793
-2.183 4.686 -6.497
-7.324 3.903 0.249
Ce Tm Ag Se
2 2 2 8
Direct
0.000 0.000 0.000
0.000 0.500 0.500
0.500 0.000 0.500
0.000 0.000 0.500
0.634 0.616 0.116
0.366 0.384 0.884
0.755 0.764 0.725
0.245 0.775 0.736
0.755 0.225 0.264
0.245 0.236 0.275
0.230 0.757 0.257
0.755 0.757 0.257
0.245 0.243 0.743
0.770 0.243 0.743
```

Properties
Uncorrected formation energy (eV per atom): -1.374
Magnetic moment (μB/f.u.): 0.000
Crystal system: orthorhombic

=====

Entry 18:
VASP calculation (PBE-GGA) on crystalline InGa9Hg2 at its relaxed geometry.

Cell and atoms, written as POSCAR:
```
InGa9Hg2
1.0
5.760 0.000 1.714
2.625 5.127 1.714
0.465 0.285 8.971
In Ga Hg
1 9 2
Direct
0.000 0.000 0.000
0.661 0.661 0.016
0.339 0.339 0.984
0.500 0.500 0.500
0.401 0.401 0.265
0.934 0.401 0.265
0.401 0.934 0.265
0.599 0.599 0.735
0.599 0.066 0.735
0.066 0.599 0.735
0.872 0.872 0.384
0.128 0.128 0.616
```

Properties
Calculated total energy (hartree per atom): -0.0908
Magnetic moment (μB/f.u.): 0.000
Crystal system: trigonal

=====

Entry 19:
VASP calculation (PBE-GGA) on crystalline PrTm5Cu4 at its relaxed geometry.

Cell and atoms, written as POSCAR:
```
PrTm5Cu4
1.0
-0.450 2.594 -2.180
1.828 -1.666 -2.360
-16.027 -8.291 -6.558
Pr Tm Cu
1 5 4
Direct
0.000 0.000 0.000
0.500 0.500 0.143
0.500 0.500 0.320
0.500 0.500 0.500
0.500 0.500 0.680
0.500 0.500 0.857
0.000 0.000 0.229
0.000 0.000 0.410
0.000 0.000 0.590
0.000 0.000 0.771
```

Properties
Calculated total energy (hartree per atom): -0.1682
Magnetic moment (μB/f.u.): 0.000
Crystal system: tetragonal

=====

Entry 20:
VASP calculation (PBE-GGA) on crystalline BaAl6S8 at its relaxed geometry.

Cell and atoms, written as POSCAR:
```
BaAl6S8
1.0
6.798 0.074 0.076
-0.138 6.797 0.076
-0.138 -0.143 6.796
Ba Al S
1 6 8
Direct
0.000 0.000 0.000
0.607 0.425 0.786
0.425 0.786 0.607
0.786 0.607 0.425
0.393 0.575 0.214
0.575 0.214 0.393
0.214 0.393 0.575
0.738 0.738 0.738
0.262 0.262 0.262
0.601 0.879 0.279
0.879 0.279 0.601
0.279 0.601 0.879
0.399 0.121 0.721
0.121 0.721 0.399
0.721 0.399 0.121
```

Properties
Uncorrected formation energy (eV per atom): -0.848
Magnetic moment (μB/f.u.): 0.000
Crystal system: trigonal

=====

Entry 21:
VASP calculation (PBE-GGA) on crystalline Ce3Ga8Ni3 at its relaxed geometry.

Cell and atoms, written as POSCAR:
```
Ce3Ga8Ni3
1.0
4.307 0.000 1.136
1.353 7.215 3.605
0.146 0.199 8.179
Ce Ga Ni
3 8 3
Direct
0.282 0.718 0.717
0.718 0.282 0.283
0.000 0.000 0.000
0.138 0.160 0.565
0.862 0.840 0.435
0.851 0.438 0.861
0.149 0.562 0.139
0.507 0.661 0.324
0.493 0.339 0.676
0.352 0.022 0.275
0.648 0.978 0.725
0.000 0.500 0.500
0.653 0.691 0.002
0.347 0.309 0.998
```

Properties
Magnetic moment (μB/f.u.): 0.380
E above lowest polymorph (eV per atom): 0.000
Crystal system: monoclinic

=====

Entry 22:
VASP calculation (PBE-GGA) on crystalline Na2CuW at its relaxed geometry.

Cell and atoms, written as POSCAR:
```
Na2CuW
1.0
8.315 0.000 0.000
0.000 8.315 0.000
4.157 4.157 2.646
Na Cu W
4 2 2
Direct
0.577 0.125 0.250
0.173 0.625 0.250
0.375 0.423 0.750
0.875 0.827 0.750
0.500 0.500 0.000
0.250 0.750 0.500
0.000 0.000 0.000
0.750 0.250 0.500
```

Properties
Magnetic moment (μB/f.u.): 3.946
E above lowest polymorph (eV per atom): 0.000
Crystal system: tetragonal

=====

Entry 23:
VASP calculation (PBE-GGA) on crystalline VSb2Au at its relaxed geometry.

Cell and atoms, written as POSCAR:
```
VSb2Au
1.0
0.000 3.508 3.508
3.508 0.000 3.508
3.508 3.508 0.000
Sb Au V
2 1 1
Direct
0.250 0.250 0.250
0.750 0.750 0.750
0.500 0.500 0.500
0.000 0.000 0.000
```

Properties
Uncorrected formation energy (eV per atom): 0.325
Magnetic moment (μB/f.u.): 3.330
Crystal system: cubic